Computed, not measured: Sr2MgGe4Pt3 after structural relaxation at the PBE level of DFT.

a b c (Å): 4.4157 4.4157 10.6177
angles (deg): 90.00 90.00 90.00
Space group P-4m2 (No. 115)
Symmetry-distinct sites (fractional):
Sr  0.0000  0.5000  0.2446 x2
Mg  0.0000  0.0000  0.5000 x1
Ge  0.0000  0.0000  0.0000 x1
Ge  0.0000  0.5000  0.6420 x2
Ge  0.5000  0.5000  0.0000 x1
Pt  0.0000  0.5000  0.8809 x2
Pt  0.5000  0.5000  0.5000 x1

Calculated values
Calculated volume in Å³ per cell: 207
M_tot in μB/f.u.: 0.0
Formation energy from the elements in eV per atom: -0.735
Raw total energy in eV per atom: -4.890

Computed, not measured: CaNdNp2As4 after structural relaxation at the PBE level of DFT.

a b c (Å): 7.2389 4.1717 7.2614
angles (deg): 90.00 109.35 90.00
Space group P2/m (No. 10)
Symmetry-distinct sites (fractional):
Ca  0.0000  0.0000  0.0000 x1
Nd  0.5000  0.5000  0.0000 x1
Np  0.0000  0.5000  0.5000 x1
Np  0.5000  0.0000  0.5000 x1
As  0.2455  0.0000  0.7358 x2
As  0.2567  0.5000  0.2671 x2

Calculated values
Calculated volume in Å³ per cell: 207
M_tot in μB/f.u.: 0.2
Formation energy from the elements in eV per atom: -0.970
Raw total energy in eV per atom: -7.376

Computed, not measured: MoOs3 after structural relaxation at the PBE level of DFT.

a b c (Å): 2.7641 2.7641 8.8632
angles (deg): 90.00 90.00 120.00
Space group P-6m2 (No. 187)
Symmetry-distinct sites (fractional):
Mo  0.0000  0.0000  0.0000 x1
Os  0.0000  0.0000  0.5000 x1
Os  0.3333  0.6667  0.2556 x2

Calculated values
Calculated volume in Å³ per cell: 59
M_tot in μB/f.u.: 0.0
Formation energy from the elements in eV per atom: 0.033
Raw total energy in eV per atom: -11.097

Computed, not measured: Pu3SiC after structural relaxation at the PBE level of DFT.

a b c (Å): 7.2375 9.6890 5.7931
angles (deg): 90.00 90.00 90.00
Space group Pnma (No. 62)
Symmetry-distinct sites (fractional):
Pu  0.0109  0.2500  0.0746 x4
Pu  0.1822  0.0367  0.6546 x8
Si  0.1028  0.7500  0.4371 x4
C  0.0000  0.0000  0.0000 x4

Calculated values
Formation energy without anion corrections in kJ/mol of formula units: -45
Calculated volume in Å³ per cell: 406
M_tot in μB/f.u.: 5.2
Raw total energy in eV per atom: -11.622

Computed, not measured: MnIn2I2Cl2 after structural relaxation at the PBE level of DFT.

a b c (Å): 16.2897 7.0596 3.9714
angles (deg): 90.00 104.07 90.00
Space group C2/m (No. 12)
Symmetry-distinct sites (fractional):
Mn  0.0000  0.0000  0.0000 x2
In  0.1478  0.5000  0.1495 x4
I  0.1848  0.0000  0.1840 x4
Cl  0.0000  0.2349  0.5000 x4

Calculated values
Formation energy without anion corrections in kJ/mol of formula units: -438
Calculated volume in Å³ per cell: 443
M_tot in μB/f.u.: 5.0
Raw total energy in eV per atom: -3.712

Computed, not measured: PrHfRuRh after structural relaxation at the PBE level of DFT.

a b c (Å): 6.8046 6.8046 6.8046
angles (deg): 90.00 90.00 90.00
Space group F-43m (No. 216)
Symmetry-distinct sites (fractional):
Pr  0.0000  0.0000  0.0000 x4
Hf  0.0000  0.0000  0.5000 x4
Ru  0.2500  0.2500  0.2500 x4
Rh  0.2500  0.2500  0.7500 x4

Calculated values
Calculated volume in Å³ per cell: 315
M_tot in μB/f.u.: 0.0
Formation energy from the elements in eV per atom: -0.442
Raw total energy in eV per atom: -8.282

Computed, not measured: BaReHg2 after structural relaxation at the PBE level of DFT.

a b c (Å): 4.2931 5.6086 9.1752
angles (deg): 90.00 90.00 90.00
Space group Immm (No. 71)
Symmetry-distinct sites (fractional):
Ba  0.0000  0.0000  0.0000 x2
Re  0.0000  0.0000  0.5000 x2
Hg  0.0000  0.5000  0.2036 x4

Calculated values
Calculated volume in Å³ per cell: 221
M_tot in μB/f.u.: 2.1
Formation energy from the elements in eV per atom: 0.737
Raw total energy in eV per atom: -3.006